# ThPd5Pt

A relaxed ThPd5Pt crystal (PBE-GGA, Alexandria via LeMat-Bulk).

```
data_ThPd5Pt
_chemical_formula_sum 'Th1 Pd5 Pt1'
_cell_length_a 6.024
_cell_length_b 6.024
_cell_length_c 6.024
_cell_angle_alpha 130.05
_cell_angle_beta 126.43
_cell_angle_gamma 76.27
_space_group_name_H-M_alt 'P 1'
_space_group_IT_number 1
loop_
_space_group_symop_operation_xyz
'x,y,z'
loop_
_atom_site_label
_atom_site_type_symbol
_atom_site_fract_x
_atom_site_fract_y
_atom_site_fract_z
_atom_site_occupancy
Th1 Th 0.000 0.000 0.000 1
Pd1 Pd 0.478 0.228 0.750 1
Pd2 Pd 0.478 0.728 0.250 1
Pd3 Pd 0.507 0.252 0.255 1
Pd4 Pd 0.726 0.726 0.000 1
Pd5 Pd 0.996 0.252 0.745 1
Pt1 Pt 0.210 0.710 0.500 1
```

The calculation puts the energy above the most stable polymorph in this dataset at 0.088 eV per atom.


# TmThPdPt

A relaxed TmThPdPt crystal (PBE-GGA, Alexandria via LeMat-Bulk).

```
data_TmThPdPt
_chemical_formula_sum 'Tm1 Th1 Pd1 Pt1'
_cell_length_a 5.032
_cell_length_b 5.032
_cell_length_c 5.032
_cell_angle_alpha 60.00
_cell_angle_beta 60.00
_cell_angle_gamma 60.00
_space_group_name_H-M_alt 'P 1'
_space_group_IT_number 1
loop_
_space_group_symop_operation_xyz
'x,y,z'
loop_
_atom_site_label
_atom_site_type_symbol
_atom_site_fract_x
_atom_site_fract_y
_atom_site_fract_z
_atom_site_occupancy
Tm1 Tm 0.000 0.000 0.000 1
Th1 Th 0.500 0.500 0.500 1
Pd1 Pd 0.250 0.250 0.250 1
Pt1 Pt 0.750 0.750 0.750 1
```

The calculation puts the energy above the most stable polymorph in this dataset at 0.123 eV per atom.


# TmThPdPt

A relaxed TmThPdPt crystal (PBE-GGA, Alexandria via LeMat-Bulk).

```
data_TmThPdPt
_chemical_formula_sum 'Tm1 Th1 Pd1 Pt1'
_cell_length_a 4.523
_cell_length_b 5.722
_cell_length_c 5.722
_cell_angle_alpha 38.76
_cell_angle_beta 90.00
_cell_angle_gamma 90.00
_space_group_name_H-M_alt 'P 1'
_space_group_IT_number 1
loop_
_space_group_symop_operation_xyz
'x,y,z'
loop_
_atom_site_label
_atom_site_type_symbol
_atom_site_fract_x
_atom_site_fract_y
_atom_site_fract_z
_atom_site_occupancy
Tm1 Tm 0.000 0.000 0.000 1
Th1 Th 0.500 0.275 0.275 1
Pd1 Pd 0.500 0.547 0.547 1
Pt1 Pt 0.000 0.729 0.729 1
```

The calculation puts the energy above the most stable polymorph in this dataset at 0.000 eV per atom.


# YThPdPt

A relaxed YThPdPt crystal (PBE-GGA, Alexandria via LeMat-Bulk).

```
data_YThPdPt
_chemical_formula_sum 'Y1 Th1 Pd1 Pt1'
_cell_length_a 5.061
_cell_length_b 5.061
_cell_length_c 5.061
_cell_angle_alpha 60.00
_cell_angle_beta 60.00
_cell_angle_gamma 60.00
_space_group_name_H-M_alt 'P 1'
_space_group_IT_number 1
loop_
_space_group_symop_operation_xyz
'x,y,z'
loop_
_atom_site_label
_atom_site_type_symbol
_atom_site_fract_x
_atom_site_fract_y
_atom_site_fract_z
_atom_site_occupancy
Y1 Y 0.000 0.000 0.000 1
Th1 Th 0.500 0.500 0.500 1
Pd1 Pd 0.250 0.250 0.250 1
Pt1 Pt 0.750 0.750 0.750 1
```

The calculation puts the energy above the most stable polymorph in this dataset at 0.138 eV per atom.


# YThPdPt

A relaxed YThPdPt crystal (PBE-GGA, Alexandria via LeMat-Bulk).

```
data_YThPdPt
_chemical_formula_sum 'Y1 Th1 Pd1 Pt1'
_cell_length_a 4.493
_cell_length_b 5.831
_cell_length_c 5.831
_cell_angle_alpha 38.26
_cell_angle_beta 90.00
_cell_angle_gamma 90.00
_space_group_name_H-M_alt 'P 1'
_space_group_IT_number 1
loop_
_space_group_symop_operation_xyz
'x,y,z'
loop_
_atom_site_label
_atom_site_type_symbol
_atom_site_fract_x
_atom_site_fract_y
_atom_site_fract_z
_atom_site_occupancy
Y1 Y 0.000 0.000 0.000 1
Th1 Th 0.500 0.726 0.726 1
Pd1 Pd 0.500 0.451 0.451 1
Pt1 Pt 0.000 0.268 0.268 1
```

The calculation puts the energy above the most stable polymorph in this dataset at 0.000 eV per atom.


# ThZnPdPt

A relaxed ThZnPdPt crystal (PBE-GGA, Alexandria via LeMat-Bulk).

```
data_ThZnPdPt
_chemical_formula_sum 'Th1 Zn1 Pd1 Pt1'
_cell_length_a 4.841
_cell_length_b 4.841
_cell_length_c 4.841
_cell_angle_alpha 60.00
_cell_angle_beta 60.00
_cell_angle_gamma 60.00
_space_group_name_H-M_alt 'P 1'
_space_group_IT_number 1
loop_
_space_group_symop_operation_xyz
'x,y,z'
loop_
_atom_site_label
_atom_site_type_symbol
_atom_site_fract_x
_atom_site_fract_y
_atom_site_fract_z
_atom_site_occupancy
Th1 Th 0.000 0.000 0.000 1
Zn1 Zn 0.500 0.500 0.500 1
Pd1 Pd 0.250 0.250 0.250 1
Pt1 Pt 0.750 0.750 0.750 1
```

The calculation puts the energy above the most stable polymorph in this dataset at 0.122 eV per atom.


# ThZnPdPt

A relaxed ThZnPdPt crystal (PBE-GGA, Alexandria via LeMat-Bulk).

```
data_ThZnPdPt
_chemical_formula_sum 'Th1 Zn1 Pd1 Pt1'
_cell_length_a 5.355
_cell_length_b 5.355
_cell_length_c 5.355
_cell_angle_alpha 49.05
_cell_angle_beta 49.05
_cell_angle_gamma 49.05
_space_group_name_H-M_alt 'P 1'
_space_group_IT_number 1
loop_
_space_group_symop_operation_xyz
'x,y,z'
loop_
_atom_site_label
_atom_site_type_symbol
_atom_site_fract_x
_atom_site_fract_y
_atom_site_fract_z
_atom_site_occupancy
Th1 Th 0.000 0.000 0.000 1
Zn1 Zn 0.504 0.504 0.504 1
Pd1 Pd 0.783 0.783 0.783 1
Pt1 Pt 0.220 0.220 0.220 1
```

The calculation puts the energy above the most stable polymorph in this dataset at 0.000 eV per atom.


# ThZn2Pd2Pt

A relaxed ThZn2Pd2Pt crystal (PBE-GGA, Alexandria via LeMat-Bulk).

```
data_ThZn2Pd2Pt
_chemical_formula_sum 'Th1 Zn2 Pd2 Pt1'
_cell_length_a 4.730
_cell_length_b 4.730
_cell_length_c 5.507
_cell_angle_alpha 90.00
_cell_angle_beta 90.00
_cell_angle_gamma 90.00
_space_group_name_H-M_alt 'P 1'
_space_group_IT_number 1
loop_
_space_group_symop_operation_xyz
'x,y,z'
loop_
_atom_site_label
_atom_site_type_symbol
_atom_site_fract_x
_atom_site_fract_y
_atom_site_fract_z
_atom_site_occupancy
Th1 Th 0.000 0.000 0.000 1
Zn1 Zn 0.000 0.500 0.500 1
Zn2 Zn 0.500 0.000 0.500 1
Pd1 Pd 0.500 0.500 0.243 1
Pd2 Pd 0.500 0.500 0.757 1
Pt1 Pt 0.000 0.000 0.500 1
```


Number 1: uncorrected energy -6.039 eV/atom, energy of formation from the pure elements -0.41 eV/atom. Number 2: uncorrected energy -6.753 eV/atom, energy of formation from the pure elements -0.97 eV/atom. Number 3: uncorrected energy -6.876 eV/atom, energy of formation from the pure elements -1.09 eV/atom. Number 4: uncorrected energy -7.215 eV/atom, energy of formation from the pure elements -0.94 eV/atom. Number 5: uncorrected energy -7.353 eV/atom, energy of formation from the pure elements -1.07 eV/atom. Number 6: uncorrected energy -5.745 eV/atom, energy of formation from the pure elements -0.76 eV/atom. Number 7: uncorrected energy -5.867 eV/atom, energy of formation from the pure elements -0.88 eV/atom. Number 8: uncorrected energy -4.811 eV/atom, energy of formation from the pure elements -0.41 eV/atom.